Entry 1:
Compound: MgNb2FeP
Source: the Alexandria database
Functional: PBE
Structure: optimized geometry

Unit cell a=4.6953 b=4.6953 c=4.1434 alpha=90.00 beta=90.00 gamma=90.00
Space group P4/mmm (No. 123)
Asymmetric unit:
1 Mg 0.0000 0.0000 0.0000 x1
2 Nb 0.0000 0.5000 0.5000 x2
3 Fe 0.5000 0.5000 0.5000 x1
4 P 0.5000 0.5000 0.0000 x1

Properties
energy of formation from the pure elements	42	kJ per mole of atoms
total magnetization	0.0	μB per formula unit



Entry 2:
Compound: Sr2CeSe3
Source: the Alexandria database
Functional: PBE
Structure: optimized geometry

Unit cell a=4.3509 b=6.1835 c=13.1934 alpha=90.00 beta=90.00 gamma=90.00
Space group Immm (No. 71)
Asymmetric unit:
1 Sr 0.0000 0.0000 0.1678 x4
2 Ce 0.0000 0.0000 0.5000 x2
3 Se 0.0000 0.5000 0.1608 x4
4 Se 0.0000 0.5000 0.5000 x2

Properties
energy relative to the elements, uncorrected	-1.913	eV per atom
total magnetization	1.4	μB per formula unit



Entry 3:
Compound: Pr15Tm2Tl2
Source: the Alexandria database
Functional: PBE
Structure: optimized geometry

Unit cell a=11.0586 b=11.0586 c=18.5133 alpha=90.00 beta=90.00 gamma=120.00
Space group R-3m (No. 166, hexagonal axes)
Asymmetric unit:
1 Pr 0.0000 0.2903 0.0000 x18
2 Pr 0.0000 0.5000 0.5000 x9
3 Pr 0.0418 0.5209 0.1260 x18
4 Tm 0.0000 0.0000 0.3012 x6
5 Tl 0.0000 0.0000 0.1017 x6

Properties
energy of formation from the pure elements	16	kJ per mole of atoms
total magnetization	0.0	μB per formula unit



Entry 4:
Compound: Dy2TeBr
Source: the Alexandria database
Functional: PBE
Structure: optimized geometry

Unit cell a=4.0618 b=4.0618 c=28.0284 alpha=90.00 beta=90.00 gamma=120.00
Space group R-3m (No. 166, hexagonal axes)
Asymmetric unit:
1 Dy 0.0000 0.0000 0.0980 x6
2 Te 0.0000 0.0000 0.5000 x3
3 Br 0.0000 0.0000 0.0000 x3

Properties
energy relative to the elements, uncorrected	-0.980	eV per atom
excess energy over the best structure of this formula in the dataset	63	meV per atom
total magnetization	0.0	μB per formula unit



Entry 5:
Compound: YCrIr2
Source: the Alexandria database
Functional: PBE
Structure: optimized geometry

Unit cell a=8.9921 b=3.0261 c=5.2839 alpha=90.00 beta=102.89 gamma=90.00
Space group C2/m (No. 12)
Asymmetric unit:
1 Y 0.0000 0.0000 0.0000 x2
2 Cr 0.0000 0.5000 0.5000 x2
3 Ir 0.2381 0.0000 0.6992 x4

Properties
energy of formation from the pure elements	-2	kJ per mole of atoms
excess energy over the best structure of this formula in the dataset	262	meV per atom
total magnetization	3.1	μB per formula unit



Entry 6:
Compound: Pm3Ho2In6
Source: the Alexandria database
Functional: PBE
Structure: optimized geometry

Unit cell a=5.8192 b=5.8192 c=22.4020 alpha=90.00 beta=90.00 gamma=90.00
Space group I4/mmm (No. 139)
Asymmetric unit:
1 Pm 0.0000 0.0000 0.0000 x2
2 Pm 0.0000 0.0000 0.1513 x4
3 Ho 0.0000 0.0000 0.4272 x4
4 In 0.0000 0.0000 0.2917 x4
5 In 0.0000 0.5000 0.0734 x8

Properties
energy of formation from the pure elements	4	kJ per mole of atoms
total magnetization	0.0	μB per formula unit



Entry 7:
Compound: CdHgF3
Source: the Alexandria database
Functional: PBE
Structure: optimized geometry

Unit cell a=4.5648 b=4.5648 c=4.5648 alpha=90.00 beta=90.00 gamma=90.00
Space group Pm-3m (No. 221)
Asymmetric unit:
1 Cd 0.0000 0.0000 0.0000 x1
2 Hg 0.5000 0.5000 0.5000 x1
3 F 0.0000 0.5000 0.5000 x3

Properties
energy relative to the elements, uncorrected	-1.184	eV per atom
excess energy over the best structure of this formula in the dataset	536	meV per atom
total magnetization	0.4	μB per formula unit



Entry 8:
Compound: YCoW2
Source: the Alexandria database
Functional: PBE
Structure: optimized geometry

Unit cell a=3.9149 b=4.2003 c=8.3096 alpha=90.00 beta=90.00 gamma=90.00
Space group Cmm2 (No. 35)
Asymmetric unit:
1 Y 0.0000 0.0000 0.0000 x2
2 Co 0.0000 0.5000 0.2605 x2
3 W 0.0000 0.0000 0.4391 x2
4 W 0.0000 0.5000 0.6986 x2

Properties
energy of formation from the pure elements	36	kJ per mole of atoms
excess energy over the best structure of this formula in the dataset	96	meV per atom
total magnetization	0.0	μB per formula unit